one | A relaxed structure of GaP2PbCl. Source: Alexandria, functional GGA-PBE.

a = 5.295 Å, b = 5.295 Å, c = 5.612 Å
α = 90.00°, β = 90.00°, γ = 90.00°
Element x y z (fractional)
Cl 0.000 0.000 0.500
Ga 0.500 0.500 0.500
Pb 0.000 0.000 0.000
P 0.500 0.000 0.000
P 0.000 0.500 0.000

Calculated values
density of states at the Fermi level	2.54	states/eV/f.u.

***

two | A relaxed structure of GaP2PbCl. Source: Alexandria, functional GGA-PBE.

a = 4.647 Å, b = 4.647 Å, c = 10.658 Å
α = 90.00°, β = 90.00°, γ = 90.00°
Element x y z (fractional)
Cl 0.000 0.000 0.500
P 0.000 0.500 0.000
Pb 0.500 0.500 0.500
Ga 0.000 0.000 0.000
P 0.500 0.000 0.000

Calculated values
density of states at the Fermi level	7.50	states/eV/f.u.

***

The most stable of them is two.

***

one | A relaxed structure of GaPPdCl2. Source: Alexandria, functional GGA-PBE.

a = 4.733 Å, b = 4.733 Å, c = 4.964 Å
α = 90.00°, β = 90.00°, γ = 90.00°
Element x y z (fractional)
Cl 0.500 0.000 0.000
Ga 0.000 0.000 0.000
Cl 0.000 0.500 0.000
P 0.000 0.000 0.500
Pd 0.500 0.500 0.500

Calculated values
density of states at the Fermi level	2.61	states/eV/f.u.

***

two | A relaxed structure of GaPPdCl2. Source: Alexandria, functional GGA-PBE.

a = 5.209 Å, b = 5.209 Å, c = 4.494 Å
α = 90.00°, β = 90.00°, γ = 90.00°
Element x y z (fractional)
Ga 0.500 0.500 0.500
Cl 0.500 0.000 0.000
P 0.000 0.000 0.500
Cl 0.000 0.500 0.000
Pd 0.000 0.000 0.000

Calculated values
density of states at the Fermi level	2.96	states/eV/f.u.

***

The most stable of them is two.

***

one | A relaxed structure of GaReP2Cl. Source: Alexandria, functional GGA-PBE.

a = 4.560 Å, b = 4.560 Å, c = 5.391 Å
α = 90.00°, β = 90.00°, γ = 90.00°
Element x y z (fractional)
Re 0.000 0.000 0.000
P 0.000 0.500 0.000
Cl 0.000 0.000 0.500
P 0.500 0.000 0.000
Ga 0.500 0.500 0.500

Calculated values
density of states at the Fermi level	1.83	states/eV/f.u.

***

two | A relaxed structure of GaReP2Cl. Source: Alexandria, functional GGA-PBE.

a = 4.569 Å, b = 4.569 Å, c = 4.544 Å
α = 90.00°, β = 90.00°, γ = 90.00°
Element x y z (fractional)
Re 0.500 0.500 0.500
P 0.000 0.500 0.000
P 0.500 0.000 0.000
Cl 0.000 0.000 0.500
Ga 0.000 0.000 0.000

Calculated values
density of states at the Fermi level	5.97	states/eV/f.u.

***

The most stable of them is one.

***

one | A relaxed structure of GaP2SCl. Source: Alexandria, functional GGA-PBE.

a = 4.838 Å, b = 4.838 Å, c = 4.605 Å
α = 90.00°, β = 90.00°, γ = 90.00°
Element x y z (fractional)
S 0.000 0.000 0.500
P 0.000 0.500 0.000
Cl 0.500 0.500 0.500
Ga 0.000 0.000 0.000
P 0.500 0.000 0.000

Calculated values
density of states at the Fermi level	3.67	states/eV/f.u.

***

two | A relaxed structure of GaP2SCl. Source: Alexandria, functional GGA-PBE.

a = 4.820 Å, b = 4.820 Å, c = 4.579 Å
α = 90.00°, β = 90.00°, γ = 90.00°
Element x y z (fractional)
Ga 0.000 0.000 0.000
S 0.500 0.500 0.500
P 0.500 0.000 0.000
Cl 0.000 0.000 0.500
P 0.000 0.500 0.000

Calculated values
density of states at the Fermi level	3.99	states/eV/f.u.

***

The most stable of them is two.